Nd2ZnNi2 | PBE | relaxed

Geometry as POSCAR:
```
Nd2ZnNi2
1.0
5.519 0.163 0.206
2.640 4.849 0.206
1.474 0.906 7.701
Ni Nd Zn
4 4 2
Direct
0.281 0.998 0.494 Ni
0.998 0.281 0.994 Ni
0.719 0.002 0.506 Ni
0.002 0.719 0.006 Ni
0.201 0.506 0.647 Nd
0.506 0.201 0.147 Nd
0.799 0.494 0.353 Nd
0.494 0.799 0.853 Nd
0.855 0.145 0.750 Zn
0.145 0.855 0.250 Zn
```

Properties
* formation enthalpy at 0 K: -0.353 eV/atom